1.
Density functional theory data (PBE-GGA) for crystalline AlAuCl5 at its relaxed geometry.

Summary:
Crystal system ... triclinic
ΔE_f (raw) ... -0.943 eV per atom
SG ... P-1, No. 2
Raw total energy ... -3.27 eV per atom
Magnetic moment ... 0.000 μB/f.u.

a b c (Å): 7.3182 7.3289 8.8098
angles (deg): 76.31 76.37 86.94
Positions (direct):
Al  0.1756  0.3251  0.2501
Al  0.8244  0.6749  0.7499
Au  0.5000  0.0000  0.0000
Au  0.5000  0.0000  0.5000
Cl  0.0757  0.7154  0.5695
Cl  0.1849  0.0753  0.1441
Cl  0.2144  0.5774  0.0710
Cl  0.3952  0.1063  0.7496
Cl  0.4272  0.3149  0.3545
Cl  0.5728  0.6851  0.6455
Cl  0.6048  0.8937  0.2504
Cl  0.7856  0.4226  0.9290
Cl  0.8151  0.9247  0.8559
Cl  0.9243  0.2846  0.4305

2.
Density functional theory data (PBE-GGA) for crystalline AlAuCl2 at its relaxed geometry.

Summary:
Crystal system ... monoclinic
ΔE_f (raw) ... -0.053 eV per atom
SG ... P2/m, No. 10
Raw total energy ... -2.73 eV per atom
Magnetic moment ... 0.000 μB/f.u.

a b c (Å): 3.4605 3.8892 7.0855
angles (deg): 90.00 90.97 90.00
Positions (direct):
Al  0.0000  0.0000  0.0000
Au  0.5000  0.0000  0.5000
Cl  0.4329  0.5000  0.2507
Cl  0.5671  0.5000  0.7493

3.
Density functional theory data (PBE-GGA) for crystalline AlAu2Cl at its relaxed geometry.

Summary:
Crystal system ... orthorhombic
ΔE_f (raw) ... -0.161 eV per atom
SG ... Cmm2, No. 35
Raw total energy ... -3.20 eV per atom
Magnetic moment ... 0.000 μB/f.u.

a b c (Å): 3.2924 5.4667 9.2353
angles (deg): 90.00 90.00 90.00
Positions (direct):
Al  0.0000  0.0000  0.0000
Al  0.5000  0.5000  0.0000
Au  0.0000  0.0000  0.5532
Au  0.0000  0.5000  0.7996
Au  0.5000  0.0000  0.7996
Au  0.5000  0.5000  0.5532
Cl  0.0000  0.5000  0.1911
Cl  0.5000  0.0000  0.1911

4.
Density functional theory data (PBE-GGA) for crystalline AlAuCl2 at its relaxed geometry.

Summary:
Crystal system ... tetragonal
ΔE_f (raw) ... -0.280 eV per atom
SG ... P4mm, No. 99
Raw total energy ... -2.96 eV per atom
Magnetic moment ... 0.000 μB/f.u.

a b c (Å): 3.1949 3.1949 8.2474
angles (deg): 90.00 90.00 90.00
Positions (direct):
Al  0.0000  0.0000  0.0000
Au  0.5000  0.5000  0.1872
Cl  0.0000  0.0000  0.3979
Cl  0.5000  0.5000  0.8028

5.
Density functional theory data (PBE-GGA) for crystalline AlAu2Cl at its relaxed geometry.

Summary:
Crystal system ... orthorhombic
ΔE_f (raw) ... -0.201 eV per atom
SG ... Imm2, No. 44
Raw total energy ... -3.24 eV per atom
Magnetic moment ... 0.000 μB/f.u.

a b c (Å): 3.0255 5.7147 9.3699
angles (deg): 90.00 90.00 90.00
Positions (direct):
Al  0.0000  0.0000  0.0000
Al  0.5000  0.5000  0.5000
Au  0.0000  0.0000  0.4770
Au  0.0000  0.5000  0.7109
Au  0.5000  0.0000  0.2109
Au  0.5000  0.5000  0.9770
Cl  0.0000  0.5000  0.3121
Cl  0.5000  0.0000  0.8121

6.
Density functional theory data (PBE-GGA) for crystalline AlAu2Cl at its relaxed geometry.

Summary:
Crystal system ... tetragonal
ΔE_f (raw) ... 0.168 eV per atom
SG ... I-4m2, No. 119
Raw total energy ... -2.87 eV per atom
Magnetic moment ... 0.000 μB/f.u.

a b c (Å): 4.3496 4.3496 8.0382
angles (deg): 90.00 90.00 90.00
Positions (direct):
Al  0.0000  0.0000  0.0000
Al  0.5000  0.5000  0.5000
Au  0.0000  0.0000  0.5000
Au  0.0000  0.5000  0.7500
Au  0.5000  0.0000  0.2500
Au  0.5000  0.5000  0.0000
Cl  0.0000  0.5000  0.2500
Cl  0.5000  0.0000  0.7500

7.
Density functional theory data (PBE-GGA) for crystalline AlAuCl2 at its relaxed geometry.

Summary:
Crystal system ... trigonal
ΔE_f (raw) ... -0.207 eV per atom
SG ... R-3m, No. 166
Raw total energy ... -2.89 eV per atom
Magnetic moment ... 0.295 μB/f.u.

a b c (Å): 3.3486 3.3486 28.4215
angles (deg): 90.00 90.00 120.00
Positions (direct):
Al  0.0000  0.0000  0.0000
Al  0.3333  0.6667  0.6667
Al  0.6667  0.3333  0.3333
Au  0.0000  0.0000  0.5000
Au  0.3333  0.6667  0.1667
Au  0.6667  0.3333  0.8333
Cl  0.0000  0.0000  0.2791
Cl  0.0000  0.0000  0.7209
Cl  0.3333  0.6667  0.3875
Cl  0.3333  0.6667  0.9458
Cl  0.6667  0.3333  0.0542
Cl  0.6667  0.3333  0.6125

8.
Density functional theory data (PBE-GGA) for crystalline Al3AuCl at its relaxed geometry.

Summary:
Crystal system ... cubic
ΔE_f (raw) ... 0.665 eV per atom
SG ... Pm-3m, No. 221
Raw total energy ... -2.61 eV per atom
Magnetic moment ... 0.000 μB/f.u.

a b c (Å): 4.8890 4.8890 4.8890
angles (deg): 90.00 90.00 90.00
Positions (direct):
Al  0.0000  0.0000  0.5000
Al  0.0000  0.5000  0.0000
Al  0.5000  0.0000  0.0000
Au  0.5000  0.5000  0.5000
Cl  0.0000  0.0000  0.0000

9.
Density functional theory data (PBE-GGA) for crystalline AlAu2Cl at its relaxed geometry.

Summary:
Crystal system ... orthorhombic
ΔE_f (raw) ... -0.087 eV per atom
SG ... Pmm2, No. 25
Raw total energy ... -3.12 eV per atom
Magnetic moment ... 0.000 μB/f.u.

a b c (Å): 5.1016 5.1184 2.9120
angles (deg): 90.00 90.00 90.00
Positions (direct):
Al  0.0000  0.0000  0.0000
Au  0.5000  0.0000  0.5028
Au  0.5000  0.5000  0.0019
Cl  0.0000  0.5000  0.0010

10.
Density functional theory data (PBE-GGA) for crystalline AlAuCl2 at its relaxed geometry.

Summary:
Crystal system ... tetragonal
ΔE_f (raw) ... -0.030 eV per atom
SG ... I-4m2, No. 119
Raw total energy ... -2.71 eV per atom
Magnetic moment ... 0.000 μB/f.u.

a b c (Å): 3.8655 3.8655 12.2448
angles (deg): 90.00 90.00 90.00
Positions (direct):
Al  0.0000  0.0000  0.0000
Al  0.5000  0.5000  0.5000
Au  0.0000  0.5000  0.7500
Au  0.5000  0.0000  0.2500
Cl  0.0000  0.0000  0.5000
Cl  0.0000  0.5000  0.2500
Cl  0.5000  0.0000  0.7500
Cl  0.5000  0.5000  0.0000

11.
Density functional theory data (PBE-GGA) for crystalline AlAuCl2 at its relaxed geometry.

Summary:
Crystal system ... orthorhombic
ΔE_f (raw) ... -0.573 eV per atom
SG ... Imm2, No. 44
Raw total energy ... -3.25 eV per atom
Magnetic moment ... 0.000 μB/f.u.

a b c (Å): 3.2635 6.6743 8.9709
angles (deg): 90.00 90.00 90.00
Positions (direct):
Al  0.0000  0.0000  0.0000
Al  0.5000  0.5000  0.5000
Au  0.0000  0.5000  0.7026
Au  0.5000  0.0000  0.2026
Cl  0.0000  0.0000  0.4390
Cl  0.0000  0.5000  0.3107
Cl  0.5000  0.0000  0.8107
Cl  0.5000  0.5000  0.9390

12.
Density functional theory data (PBE-GGA) for crystalline AlAu2Cl at its relaxed geometry.

Summary:
Crystal system ... orthorhombic
ΔE_f (raw) ... 0.024 eV per atom
SG ... Pmmm, No. 47
Raw total energy ... -3.01 eV per atom
Magnetic moment ... 0.000 μB/f.u.

a b c (Å): 2.9636 4.9874 5.0730
angles (deg): 90.00 90.00 90.00
Positions (direct):
Al  0.0000  0.0000  0.0000
Au  0.0000  0.5000  0.5000
Au  0.5000  0.5000  0.0000
Cl  0.5000  0.0000  0.5000

13.
Density functional theory data (PBE-GGA) for crystalline AlAu2Cl at its relaxed geometry.

Summary:
Crystal system ... tetragonal
ΔE_f (raw) ... -0.122 eV per atom
SG ... P4/mmm, No. 123
Raw total energy ... -3.16 eV per atom
Magnetic moment ... 0.000 μB/f.u.

a b c (Å): 3.0986 3.0986 7.5908
angles (deg): 90.00 90.00 90.00
Positions (direct):
Al  0.0000  0.0000  0.0000
Au  0.5000  0.5000  0.2145
Au  0.5000  0.5000  0.7855
Cl  0.0000  0.0000  0.5000

14.
Density functional theory data (PBE-GGA) for crystalline AlAuCl2 at its relaxed geometry.

Summary:
Crystal system ... monoclinic
ΔE_f (raw) ... -0.756 eV per atom
SG ... Cm, No. 8
Raw total energy ... -3.43 eV per atom
Magnetic moment ... 0.000 μB/f.u.

a b c (Å): 12.6706 3.0701 6.9953
angles (deg): 90.00 122.31 90.00
Positions (direct):
Al  0.0000  0.0000  0.0000
Al  0.5000  0.5000  0.0000
Au  0.3209  0.0000  0.9269
Au  0.8209  0.5000  0.9269
Cl  0.0243  0.5000  0.7677
Cl  0.1295  0.5000  0.2853
Cl  0.5243  0.0000  0.7677
Cl  0.6295  0.0000  0.2853

15.
Density functional theory data (PBE-GGA) for crystalline AlAuCl2 at its relaxed geometry.

Summary:
Crystal system ... orthorhombic
ΔE_f (raw) ... -0.035 eV per atom
SG ... Pmmm, No. 47
Raw total energy ... -2.71 eV per atom
Magnetic moment ... 0.000 μB/f.u.

a b c (Å): 3.5666 4.1141 6.1547
angles (deg): 90.00 90.00 90.00
Positions (direct):
Al  0.0000  0.0000  0.0000
Au  0.5000  0.0000  0.5000
Cl  0.0000  0.5000  0.5000
Cl  0.5000  0.5000  0.0000

16.
Density functional theory data (PBE-GGA) for crystalline AlAuCl2 at its relaxed geometry.

Summary:
Crystal system ... orthorhombic
ΔE_f (raw) ... -0.584 eV per atom
SG ... Immm, No. 71
Raw total energy ... -3.26 eV per atom
Magnetic moment ... 0.000 μB/f.u.

a b c (Å): 3.0747 4.9783 12.8554
angles (deg): 90.00 90.00 90.00
Positions (direct):
Al  0.0000  0.0000  0.0000
Al  0.5000  0.5000  0.5000
Au  0.0000  0.0000  0.5000
Au  0.5000  0.5000  0.0000
Cl  0.0000  0.5000  0.3626
Cl  0.0000  0.5000  0.6374
Cl  0.5000  0.0000  0.1374
Cl  0.5000  0.0000  0.8626

17.
Density functional theory data (PBE-GGA) for crystalline AlAu2Cl at its relaxed geometry.

Summary:
Crystal system ... tetragonal
ΔE_f (raw) ... -0.137 eV per atom
SG ... I-42d, No. 122
Raw total energy ... -3.17 eV per atom
Magnetic moment ... 0.000 μB/f.u.

a b c (Å): 6.7620 6.7620 8.1385
angles (deg): 90.00 90.00 90.00
Positions (direct):
Al  0.0000  0.0000  0.0000
Al  0.0000  0.5000  0.2500
Al  0.5000  0.0000  0.7500
Al  0.5000  0.5000  0.5000
Au  0.2169  0.2500  0.1250
Au  0.2500  0.7169  0.3750
Au  0.2500  0.7831  0.8750
Au  0.2831  0.2500  0.6250
Au  0.7169  0.7500  0.6250
Au  0.7500  0.2169  0.8750
Au  0.7500  0.2831  0.3750
Au  0.7831  0.7500  0.1250
Cl  0.0000  0.0000  0.5000
Cl  0.0000  0.5000  0.7500
Cl  0.5000  0.0000  0.2500
Cl  0.5000  0.5000  0.0000

18.
Density functional theory data (PBE-GGA) for crystalline AlAuCl2 at its relaxed geometry.

Summary:
Crystal system ... tetragonal
ΔE_f (raw) ... -0.112 eV per atom
SG ... P4/mmm, No. 123
Raw total energy ... -2.79 eV per atom
Magnetic moment ... 0.001 μB/f.u.

a b c (Å): 5.3190 5.3190 3.1417
angles (deg): 90.00 90.00 90.00
Positions (direct):
Al  0.0000  0.0000  0.0000
Au  0.5000  0.5000  0.0000
Cl  0.0000  0.5000  0.0000
Cl  0.5000  0.0000  0.0000

19.
Density functional theory data (PBE-GGA) for crystalline AlAu2Cl at its relaxed geometry.

Summary:
Crystal system ... trigonal
ΔE_f (raw) ... -0.324 eV per atom
SG ... R-3m, No. 166
Raw total energy ... -3.36 eV per atom
Magnetic moment ... 0.000 μB/f.u.

a b c (Å): 3.4128 3.4128 22.9028
angles (deg): 90.00 90.00 120.00
Positions (direct):
Al  0.0000  0.0000  0.0000
Al  0.3333  0.6667  0.6667
Al  0.6667  0.3333  0.3333
Au  0.0000  0.0000  0.2595
Au  0.0000  0.0000  0.7405
Au  0.3333  0.6667  0.4071
Au  0.3333  0.6667  0.9262
Au  0.6667  0.3333  0.0738
Au  0.6667  0.3333  0.5929
Cl  0.0000  0.0000  0.5000
Cl  0.3333  0.6667  0.1667
Cl  0.6667  0.3333  0.8333

20.
Density functional theory data (PBE-GGA) for crystalline Al3AuCl at its relaxed geometry.

Summary:
Crystal system ... cubic
ΔE_f (raw) ... -0.069 eV per atom
SG ... Pm-3m, No. 221
Raw total energy ... -3.34 eV per atom
Magnetic moment ... 0.000 μB/f.u.

a b c (Å): 4.9447 4.9447 4.9447
angles (deg): 90.00 90.00 90.00
Positions (direct):
Al  0.0000  0.0000  0.5000
Al  0.0000  0.5000  0.0000
Al  0.5000  0.0000  0.0000
Au  0.0000  0.0000  0.0000
Cl  0.5000  0.5000  0.5000